{
  "formula": "HfTl2FeO6",
  "functional": "PBE+U",
  "state": "optimized geometry",
  "lattice_angstrom": [[5.610, 0.000, 0.000], [2.805, 4.859, 0.000], [2.805, 1.620, 4.807]],
  "species": ["Hf", "Tl", "Tl", "Fe", "O", "O", "O", "O", "O", "O"],
  "fractional_positions": [[0.314, 0.314, 0.059], [0.537, 0.537, 0.390], [0.056, 0.056, 0.831], [0.815, 0.815, 0.555], [0.579, 0.179, 0.286], [0.179, 0.956, 0.286], [0.956, 0.579, 0.286], [0.492, 0.651, 0.774], [0.651, 0.083, 0.774], [0.083, 0.492, 0.774]],
  "volume_a3_per_cell": 131.03,
  "rho_g_cm3": 9.37,
  "energy_ha_per_atom": -0.243,
  "magnetic_moment_mub_per_fu": 4.6
}